No. 1
# PBE MgTlFeBi2, optimized geometry
data_MgTlFeBi2
_chemical_formula_sum 'Mg1 Tl1 Fe1 Bi2'
_space_group_name_H-M_alt 'P 4/m m m'
_space_group_IT_number 123
_space_group_name_Hall '-P 4 2'
_cell_length_a 5.538
_cell_length_b 5.538
_cell_length_c 4.776
_cell_angle_alpha 90.00
_cell_angle_beta 90.00
_cell_angle_gamma 90.00
loop_
_atom_site_label
_atom_site_type_symbol
_atom_site_fract_x
_atom_site_fract_y
_atom_site_fract_z
_atom_site_occupancy
Mg1 Mg 0.000 0.000 0.000 1
Tl1 Tl 0.500 0.500 0.500 1
Fe1 Fe 0.000 0.000 0.500 1
Bi1 Bi 0.000 0.500 0.000 1
# calculated formation energy = 0.9640 eV/atom
# volume = 146.5 Å³/cell
# N(E_F) = 9.79 states/eV/cell


No. 2
# PBE Sm2BiRu, optimized geometry
data_Sm2BiRu
_chemical_formula_sum 'Sm2 Bi1 Ru1'
_space_group_name_H-M_alt 'P 4/m m m'
_space_group_IT_number 123
_space_group_name_Hall '-P 4 2'
_cell_length_a 3.480
_cell_length_b 3.480
_cell_length_c 8.530
_cell_angle_alpha 90.00
_cell_angle_beta 90.00
_cell_angle_gamma 90.00
loop_
_atom_site_label
_atom_site_type_symbol
_atom_site_fract_x
_atom_site_fract_y
_atom_site_fract_z
_atom_site_occupancy
Sm1 Sm 0.000 0.000 0.200 1
Bi1 Bi 0.500 0.500 0.500 1
Ru1 Ru 0.500 0.500 0.000 1
# calculated formation energy = -0.4765 eV/atom
# volume = 103.3 Å³/cell
# N(E_F) = 0.81 states/eV/cell
# offset from the most stable computed form = 0.0000 eV/atom


No. 3
# PBE Sc2CuAg2, optimized geometry
data_Sc2CuAg2
_chemical_formula_sum 'Sc4 Cu2 Ag4'
_space_group_name_H-M_alt 'P 4/m b m'
_space_group_IT_number 127
_space_group_name_Hall '-P 4 2ab'
_cell_length_a 7.428
_cell_length_b 7.428
_cell_length_c 3.762
_cell_angle_alpha 90.00
_cell_angle_beta 90.00
_cell_angle_gamma 90.00
loop_
_atom_site_label
_atom_site_type_symbol
_atom_site_fract_x
_atom_site_fract_y
_atom_site_fract_z
_atom_site_occupancy
Sc1 Sc 0.161 0.339 0.000 1
Cu1 Cu 0.000 0.000 0.000 1
Ag1 Ag 0.137 0.637 0.500 1
# calculated formation energy = 0.0970 eV/atom
# volume = 207.6 Å³/cell
# N(E_F) = 6.71 states/eV/cell
# offset from the most stable computed form = 0.1611 eV/atom


No. 4
# PBE NbReSe3, optimized geometry
data_NbReSe3
_chemical_formula_sum 'Nb1 Re1 Se3'
_space_group_name_H-M_alt 'P m -3 m'
_space_group_IT_number 221
_space_group_name_Hall '-P 4 2 3'
_cell_length_a 4.866
_cell_length_b 4.866
_cell_length_c 4.866
_cell_angle_alpha 90.00
_cell_angle_beta 90.00
_cell_angle_gamma 90.00
loop_
_atom_site_label
_atom_site_type_symbol
_atom_site_fract_x
_atom_site_fract_y
_atom_site_fract_z
_atom_site_occupancy
Nb1 Nb 0.000 0.000 0.000 1
Re1 Re 0.500 0.500 0.500 1
Se1 Se 0.000 0.500 0.500 1
# volume = 115.2 Å³/cell
# N(E_F) = 5.45 states/eV/cell
# offset from the most stable computed form = 0.0000 eV/atom


No. 5
# PBE K2NdNpTe4, optimized geometry
data_K2NdNpTe4
_chemical_formula_sum 'K2 Nd1 Np1 Te4'
_space_group_name_H-M_alt 'P 1 2/m 1'
_space_group_IT_number 10
_space_group_name_Hall '-P 2y'
_cell_length_a 7.980
_cell_length_b 4.596
_cell_length_c 8.639
_cell_angle_alpha 90.00
_cell_angle_beta 107.93
_cell_angle_gamma 90.00
loop_
_atom_site_label
_atom_site_type_symbol
_atom_site_fract_x
_atom_site_fract_y
_atom_site_fract_z
_atom_site_occupancy
K1 K 0.000 0.000 0.000 1
K2 K 0.500 0.500 0.000 1
Nd1 Nd 0.000 0.500 0.500 1
Np1 Np 0.500 0.000 0.500 1
Te1 Te 0.241 0.000 0.714 1
Te2 Te 0.267 0.500 0.290 1
# electronic total energy = -5.2073 eV per atom
# volume = 301.4 Å³/cell
# N(E_F) = 7.03 states/eV/cell


No. 6
# PBE KCuAg, optimized geometry
data_KCuAg
_chemical_formula_sum 'K16 Cu16 Ag16'
_space_group_name_H-M_alt 'F m m m'
_space_group_IT_number 69
_space_group_name_Hall '-F 2 2'
_cell_length_a 5.868
_cell_length_b 14.270
_cell_length_c 14.273
_cell_angle_alpha 90.00
_cell_angle_beta 90.00
_cell_angle_gamma 90.00
loop_
_atom_site_label
_atom_site_type_symbol
_atom_site_fract_x
_atom_site_fract_y
_atom_site_fract_z
_atom_site_occupancy
K1 K 0.000 0.116 0.116 1
Cu1 Cu 0.000 0.187 0.313 1
Ag1 Ag 0.000 0.000 0.355 1
Ag2 Ag 0.000 0.146 0.500 1
# calculated formation energy = 0.3472 eV/atom
# volume = 1195.1 Å³/cell
# N(E_F) = 10.09 states/eV/cell
# offset from the most stable computed form = 0.1187 eV/atom


No. 7
# PBE RbEuPd4, optimized geometry
data_RbEuPd4
_chemical_formula_sum 'Rb4 Eu4 Pd16'
_space_group_name_H-M_alt 'F -4 3 m'
_space_group_IT_number 216
_space_group_name_Hall 'F -4 2 3'
_cell_length_a 7.934
_cell_length_b 7.934
_cell_length_c 7.934
_cell_angle_alpha 90.00
_cell_angle_beta 90.00
_cell_angle_gamma 90.00
loop_
_atom_site_label
_atom_site_type_symbol
_atom_site_fract_x
_atom_site_fract_y
_atom_site_fract_z
_atom_site_occupancy
Rb1 Rb 0.000 0.000 0.000 1
Eu1 Eu 0.250 0.250 0.250 1
Pd1 Pd 0.124 0.124 0.624 1
# calculated formation energy = -0.3151 eV/atom
# volume = 499.4 Å³/cell
# N(E_F) = 75.19 states/eV/cell


No. 8
# PBE DyYPd2, optimized geometry
data_DyYPd2
_chemical_formula_sum 'Dy3 Y3 Pd6'
_space_group_name_H-M_alt 'R -3 m'
_space_group_IT_number 166
_space_group_name_Hall '-R 3 2"'
_cell_length_a 4.1007
_cell_length_b 4.1007
_cell_length_c 19.8750
_cell_angle_alpha 90.00
_cell_angle_beta 90.00
_cell_angle_gamma 120.00
loop_
_atom_site_label
_atom_site_type_symbol
_atom_site_fract_x
_atom_site_fract_y
_atom_site_fract_z
_atom_site_occupancy
Dy1 Dy 0.0000 0.0000 0.0000 1
Y1 Y 0.0000 0.0000 0.5000 1
Pd1 Pd 0.0000 0.0000 0.2512 1
# calculated formation energy = -0.7270 eV/atom
# volume = 289.4 Å³/cell
# N(E_F) = 9.34 states/eV/cell
# offset from the most stable computed form = 0.1840 eV/atom


No. 9
# PBE Sm8GaSi2, optimized geometry
data_Sm8GaSi2
_chemical_formula_sum 'Sm16 Ga2 Si4'
_space_group_name_H-M_alt 'C 1 2/m 1'
_space_group_IT_number 12
_space_group_name_Hall '-C 2y'
_cell_length_a 18.983
_cell_length_b 4.905
_cell_length_c 6.869
_cell_angle_alpha 90.00
_cell_angle_beta 103.37
_cell_angle_gamma 90.00
loop_
_atom_site_label
_atom_site_type_symbol
_atom_site_fract_x
_atom_site_fract_y
_atom_site_fract_z
_atom_site_occupancy
Sm1 Sm 0.026 0.000 0.275 1
Sm2 Sm 0.094 0.500 0.975 1
Sm3 Sm 0.163 0.500 0.491 1
Sm4 Sm 0.213 0.000 0.830 1
Ga1 Ga 0.000 0.500 0.500 1
Si1 Si 0.183 0.000 0.249 1
# electronic total energy = -5.0196 eV per atom
# volume = 622.1 Å³/cell
# N(E_F) = 21.45 states/eV/cell


No. 10
# PBE TcNi2Rh2, optimized geometry
data_TcNi2Rh2
_chemical_formula_sum 'Tc2 Ni4 Rh4'
_space_group_name_H-M_alt 'P 4/m b m'
_space_group_IT_number 127
_space_group_name_Hall '-P 4 2ab'
_cell_length_a 7.083
_cell_length_b 7.083
_cell_length_c 2.678
_cell_angle_alpha 90.00
_cell_angle_beta 90.00
_cell_angle_gamma 90.00
loop_
_atom_site_label
_atom_site_type_symbol
_atom_site_fract_x
_atom_site_fract_y
_atom_site_fract_z
_atom_site_occupancy
Tc1 Tc 0.000 0.000 0.000 1
Ni1 Ni 0.170 0.330 0.500 1
Rh1 Rh 0.130 0.630 0.000 1
# calculated formation energy = 0.2937 eV/atom
# volume = 134.3 Å³/cell
# N(E_F) = 16.23 states/eV/cell
# offset from the most stable computed form = 0.3181 eV/atom


No. 11
# PBE Rb2PmP2S6, optimized geometry
data_Rb2PmP2S6
_chemical_formula_sum 'Rb4 Pm2 P4 S12'
_space_group_name_H-M_alt 'C 1 2/m 1'
_space_group_IT_number 12
_space_group_name_Hall '-C 2y'
_cell_length_a 12.079
_cell_length_b 7.022
_cell_length_c 8.191
_cell_angle_alpha 90.00
_cell_angle_beta 118.83
_cell_angle_gamma 90.00
loop_
_atom_site_label
_atom_site_type_symbol
_atom_site_fract_x
_atom_site_fract_y
_atom_site_fract_z
_atom_site_occupancy
Rb1 Rb 0.213 0.000 0.197 1
Pm1 Pm 0.000 0.000 0.500 1
P1 P 0.048 0.500 0.176 1
S1 S 0.039 0.259 0.792 1
S2 S 0.243 0.500 0.364 1
# electronic total energy = -4.7404 eV per atom
# volume = 608.7 Å³/cell
# N(E_F) = 5.02 states/eV/cell


No. 12
# PBE CoSi4Ag, optimized geometry
data_CoSi4Ag
_chemical_formula_sum 'Co4 Si16 Ag4'
_space_group_name_H-M_alt 'F -4 3 m'
_space_group_IT_number 216
_space_group_name_Hall 'F -4 2 3'
_cell_length_a 7.093
_cell_length_b 7.093
_cell_length_c 7.093
_cell_angle_alpha 90.00
_cell_angle_beta 90.00
_cell_angle_gamma 90.00
loop_
_atom_site_label
_atom_site_type_symbol
_atom_site_fract_x
_atom_site_fract_y
_atom_site_fract_z
_atom_site_occupancy
Co1 Co 0.000 0.000 0.000 1
Si1 Si 0.126 0.126 0.626 1
Ag1 Ag 0.250 0.250 0.250 1
# electronic total energy = -4.7046 eV per atom
# volume = 356.8 Å³/cell
# N(E_F) = 18.46 states/eV/cell


No. 13
# PBE PmDy3Ho2Bi6, optimized geometry
data_PmDy3Ho2Bi6
_chemical_formula_sum 'Pm2 Dy6 Ho4 Bi12'
_space_group_name_H-M_alt 'C 1 2/m 1'
_space_group_IT_number 12
_space_group_name_Hall '-C 2y'
_cell_length_a 19.558
_cell_length_b 4.488
_cell_length_c 8.977
_cell_angle_alpha 90.00
_cell_angle_beta 103.21
_cell_angle_gamma 90.00
loop_
_atom_site_label
_atom_site_type_symbol
_atom_site_fract_x
_atom_site_fract_y
_atom_site_fract_z
_atom_site_occupancy
Pm1 Pm 0.000 0.000 0.000 1
Dy1 Dy 0.000 0.000 0.500 1
Dy2 Dy 0.166 0.500 0.832 1
Ho1 Ho 0.167 0.500 0.333 1
Bi1 Bi 0.001 0.500 0.255 1
Bi2 Bi 0.167 0.000 0.582 1
Bi3 Bi 0.169 0.000 0.085 1
# calculated formation energy = -0.8631 eV/atom
# volume = 767.2 Å³/cell
# N(E_F) = 4.01 states/eV/cell